A crystal of Li2BeBr relaxed with PBEsol, computed with meta-GGA SCAN.

It has space group P2/m (No. 10), with a = 3.318 Å, b = 3.316 Å, c = 5.764 Å, α = 90.00°, β = 90.10° and γ = 90.00°. Symmetry generates all atoms from Li at (0.001, 0.000, 0.229), Be at (0.500, 0.500, 0.000) and Br at (0.500, 0.500, 0.500).

Its formation energy without anion corrections is -0.28 eV per atom. The volume is 63.42 Å³/cell. The calculation puts the mass density at 2.7 Mg/m³.